# 1
The following is a DFT calculation (PBE-GGA) of NdTlZnSe3 after structural relaxation.

Values from the calculation:
space group	C2/m, No. 12
energy above the lowest structure with this stoichiometry	14.6	kJ/mol of atoms

Cell lengths 9.032, 9.032, 9.273 Å; angles 106.08, 106.08, 27.69 degrees
Fractional positions:
Nd 0.824 0.824 0.391
Nd 0.176 0.176 0.609
Se 0.500 0.500 0.000
Se 0.344 0.344 0.192
Se 0.654 0.654 0.375
Se 0.000 0.000 0.500
Se 0.346 0.346 0.625
Se 0.656 0.656 0.808
Tl 0.135 0.135 0.075
Tl 0.865 0.865 0.925
Zn 0.494 0.494 0.286
Zn 0.506 0.506 0.714


# 2
The following is a DFT calculation (PBE-GGA) of BaMgZnAu2 after structural relaxation.

Values from the calculation:
space group	I-4m2, No. 119

Cell lengths 6.931, 6.931, 6.931 Å; angles 142.45, 142.45, 54.15 degrees
Fractional positions:
Au 0.379 0.379 0.000
Au 0.621 0.621 0.000
Ba 0.000 0.000 0.000
Mg 0.750 0.250 0.500
Zn 0.250 0.750 0.500


no.,E (hartree per atom)
1,-0.151
2,-0.104